Compound: KSbTe2N
Source: Alexandria
Functional: PBE
Structure: relaxed

Summary:
The value obtained for the relative energy among the computed polymorphs is 1090 meV/atom. As for the raw formation energy: 1419 meV/atom.

Cell: 6.094 6.094 4.721 Å, 90.00 90.00 90.00°
Positions (direct):
1 K 0.000 0.000 0.000
2 Sb 0.500 0.500 0.500
3 Te 0.000 0.500 0.000
4 Te 0.500 0.000 0.000
5 N 0.000 0.000 0.500